A plane-wave DFT calculation with PBE with a Hubbard U was carried out for an optimized crystal structure of PmCdMoO6.

## Properties
* E: -6.45 eV per atom

Lattice parameters (Å, degrees): 4.6508 5.6933 5.6933 120.00 90.00 90.00
Each line ends with the local moment (μB).
Fractional positions:
Pm (0.5000, 0.6667, 0.3333)  -0.01
Cd (0.0000, 0.3333, 0.6667)  0.00
Mo (0.5000, 0.0000, 0.0000)  -0.15
O (0.7298, 0.7096, 0.7176)  0.17
O (0.7298, 0.2824, 0.9920)  0.17
O (0.7298, 0.0080, 0.2904)  0.17
O (0.2702, 0.2824, 0.2904)  0.17
O (0.2702, 0.7096, 0.9920)  0.17
O (0.2702, 0.0080, 0.7176)  0.17